First-principles (PBE) data for crystalline LaZnW2 at its relaxed geometry, as listed in Alexandria via LeMat-Bulk.

The space group is Pmmm (No. 47) and the conventional cell measures 2.814, 4.184 and 6.792 Å, with angles of 90.00, 90.00 and 90.00 degrees. The asymmetric unit holds La at (0.000, 0.000, 0.000), Zn at (0.000, 0.000, 0.500) and W at (0.500, 0.500, 0.316).

The formation energy is 0.69 eV/atom. The calculated volume is 80 Å³/cell. The density of states at the Fermi level comes out at 0.940 states/eV per atom.